Record 1
This record from Alexandria describes a relaxed structure of Tb3Dy5Y. The functional is PBE.

## Properties
The energy relative to the lowest polymorph listed for this composition comes out at 4.09 eV per formula unit. The value obtained for the magnetic moment is 0.00 μB per cell. The value obtained for the total energy is -4.29 eV/atom. The formation energy from the elements is 455.0 kJ/mol of formula units.

Unit cell a=9.4753 b=9.4753 c=9.9003 alpha=120.99 beta=120.99 gamma=74.01
With the nearest neighbours (Å) after each atom.
Positions (direct):
Tb: 0.0000 0.0000 0.0000  2 Tb 3.04, 2 Y 3.24
Tb: 0.0093 0.0093 0.3163  1 Tb 3.04, 5 Dy 3.19-3.36, 1 Y 3.38
Tb: 0.4812 0.4812 0.1402  2 Tb 3.17-3.39, 4 Dy 3.22-3.52, 1 Y 3.25
Tb: 0.5000 0.5000 0.5000  4 Dy 2.94-3.14, 2 Y 3.28
Tb: 0.5188 0.5188 0.8598  2 Tb 3.17-3.39, 4 Dy 3.22-3.52, 1 Y 3.25
Tb: 0.9907 0.9907 0.6837  1 Tb 3.04, 5 Dy 3.19-3.36, 1 Y 3.38
Dy: 0.0977 0.6008 0.7513  3 Dy 3.30-3.70, 2 Tb 3.47-3.52
Dy: 0.2228 0.2228 0.7299  3 Tb 3.19-3.36, 3 Dy 3.26-3.38, 1 Y 3.39
Dy: 0.2424 0.7576 0.5000  1 Tb 2.94
Dy: 0.2769 0.2769 0.4602  3 Tb 3.14-3.32, 3 Dy 3.26-3.30, 1 Y 3.34
Dy: 0.3992 0.9023 0.2487  3 Dy 3.30-3.70, 2 Tb 3.47-3.52
Dy: 0.6008 0.0977 0.7513  3 Dy 3.30-3.70, 2 Tb 3.47-3.52
Dy: 0.7231 0.7231 0.5398  3 Tb 3.14-3.32, 3 Dy 3.26-3.30, 1 Y 3.34
Dy: 0.7576 0.2424 0.5000  1 Tb 2.94
Dy: 0.7772 0.7772 0.2701  3 Tb 3.19-3.36, 3 Dy 3.26-3.38, 1 Y 3.39
Dy: 0.9023 0.3992 0.2487  3 Dy 3.30-3.70, 2 Tb 3.47-3.52
Y: 0.2495 0.2495 0.0974  4 Tb 3.24-3.38, 2 Dy 3.34-3.39
Y: 0.7505 0.7505 0.9026  4 Tb 3.24-3.38, 2 Dy 3.34-3.39

***

Record 2
This record from Alexandria describes a relaxed structure of Tb3Dy7Y. The functional is PBE.

## Properties
The energy relative to the lowest polymorph listed for this composition comes out at 1.35 eV per formula unit. The value obtained for the magnetic moment is 0.38 μB per cell. The value obtained for the total energy is -4.51 eV/atom. The formation energy from the elements is 281.9 kJ/mol of formula units.

Unit cell a=8.4031 b=8.4031 c=5.7915 alpha=110.08 beta=110.08 gamma=83.19
With the nearest neighbours (Å) after each atom.
Positions (direct):
Tb: 0.0000 0.0000 0.0000  4 Dy 3.17
Tb: 0.2085 0.7915 0.5000  5 Dy 3.25-3.47
Tb: 0.7915 0.2085 0.5000  5 Dy 3.25-3.47
Dy: 0.0061 0.4015 0.2036  2 Tb 3.17-3.47, 3 Dy 3.28-3.52
Dy: 0.2060 0.2060 0.7046  2 Tb 3.27, 1 Y 3.28, 6 Dy 3.52-3.65
Dy: 0.4015 0.0061 0.2036  2 Tb 3.17-3.47, 3 Dy 3.28-3.52
Dy: 0.5000 0.5000 0.5000  2 Y 2.90
Dy: 0.5985 0.9939 0.7964  2 Tb 3.17-3.47, 3 Dy 3.28-3.52
Dy: 0.7940 0.7940 0.2954  2 Tb 3.27, 1 Y 3.28, 6 Dy 3.52-3.65
Dy: 0.9939 0.5985 0.7964  2 Tb 3.17-3.47, 3 Dy 3.28-3.52
Y: 0.5000 0.5000 0.0000  2 Dy 2.90

***

Record 3
This record from Alexandria describes a relaxed structure of Tb3DyY6. The functional is PBE.

## Properties
The energy relative to the lowest polymorph listed for this composition comes out at 0.30 eV per formula unit. The value obtained for the magnetic moment is 0.00 μB per cell. The value obtained for the total energy is -5.58 eV/atom. The formation energy from the elements is 139.1 kJ/mol of formula units.

Unit cell a=10.9570 b=10.9570 c=6.2682 alpha=90.00 beta=90.00 gamma=119.77
With the nearest neighbours (Å) after each atom.
Positions (direct):
Tb: 0.1107 0.8893 0.5000  7 Y 3.36-3.74, 1 Dy 3.53, 2 Tb 3.69
Tb: 0.2183 0.4391 0.1164  1 Dy 3.23, 6 Y 3.29-3.60
Tb: 0.4391 0.2183 0.6164  1 Dy 3.23, 6 Y 3.29-3.60
Tb: 0.5609 0.7817 0.1164  1 Dy 3.23, 6 Y 3.29-3.60
Tb: 0.7817 0.5609 0.6164  1 Dy 3.23, 6 Y 3.29-3.60
Tb: 0.8893 0.1107 0.0000  7 Y 3.36-3.74, 1 Dy 3.53, 2 Tb 3.69
Dy: 0.2951 0.7049 0.4229  3 Tb 3.23-3.53, 7 Y 3.33-3.46
Dy: 0.7049 0.2951 0.9229  3 Tb 3.23-3.53, 7 Y 3.33-3.46
Y: 0.0360 0.4536 0.7093  5 Y 3.26-3.50, 2 Tb 3.29-3.57, 2 Dy 3.33-3.42
Y: 0.1190 0.2098 0.5309  4 Tb 3.40-3.67, 5 Y 3.41-3.79
Y: 0.2098 0.1190 0.0309  4 Tb 3.40-3.67, 5 Y 3.41-3.79
Y: 0.2211 0.7789 0.9189  4 Y 3.26-3.37, 1 Tb 3.36, 2 Dy 3.41-3.46
Y: 0.4532 0.5468 0.6668  1 Dy 3.36, 4 Tb 3.54-3.60, 2 Y 3.60
Y: 0.4536 0.0360 0.2093  5 Y 3.26-3.50, 2 Tb 3.29-3.57, 2 Dy 3.33-3.42
Y: 0.5464 0.9640 0.7093  5 Y 3.26-3.50, 2 Tb 3.29-3.57, 2 Dy 3.33-3.42
Y: 0.5468 0.4532 0.1668  1 Dy 3.36, 4 Tb 3.54-3.60, 2 Y 3.60
Y: 0.7789 0.2211 0.4189  4 Y 3.26-3.37, 1 Tb 3.36, 2 Dy 3.41-3.46
Y: 0.7902 0.8810 0.5309  4 Tb 3.40-3.67, 5 Y 3.41-3.79
Y: 0.8810 0.7902 0.0309  4 Tb 3.40-3.67, 5 Y 3.41-3.79
Y: 0.9640 0.5464 0.2093  5 Y 3.26-3.50, 2 Tb 3.29-3.57, 2 Dy 3.33-3.42

***

Record 4
This record from Alexandria describes a relaxed structure of TbDy3Y12. The functional is PBE.

## Properties
The value obtained for the magnetic moment is 0.00 μB per cell. The value obtained for the total energy is -5.98 eV/atom. The formation energy from the elements is 35.5 kJ/mol of formula units.

Unit cell a=5.0421 b=5.0421 c=20.1685 alpha=90.00 beta=90.00 gamma=90.00
With the nearest neighbours (Å) after each atom.
Positions (direct):
Tb: 0.0000 0.0000 0.0000  12 Y 3.57
Dy: 0.0000 0.0000 0.2501  12 Y 3.56-3.57
Dy: 0.0000 0.0000 0.5000  12 Y 3.57
Dy: 0.0000 0.0000 0.7499  12 Y 3.56-3.57
Y: 0.0000 0.5000 0.1252  2 Dy 3.56, 8 Y 3.56-3.57, 2 Tb 3.57
Y: 0.0000 0.5000 0.3750  8 Y 3.56-3.57, 4 Dy 3.56-3.57
Y: 0.0000 0.5000 0.6250  8 Y 3.56-3.57, 4 Dy 3.56-3.57
Y: 0.0000 0.5000 0.8748  2 Dy 3.56, 8 Y 3.56-3.57, 2 Tb 3.57
Y: 0.5000 0.0000 0.1252  2 Dy 3.56, 8 Y 3.56-3.57, 2 Tb 3.57
Y: 0.5000 0.0000 0.3750  8 Y 3.56-3.57, 4 Dy 3.56-3.57
Y: 0.5000 0.0000 0.6250  8 Y 3.56-3.57, 4 Dy 3.56-3.57
Y: 0.5000 0.0000 0.8748  2 Dy 3.56, 8 Y 3.56-3.57, 2 Tb 3.57
Y: 0.5000 0.5000 0.0000  4 Tb 3.57, 8 Y 3.57
Y: 0.5000 0.5000 0.2501  8 Y 3.56, 4 Dy 3.57
Y: 0.5000 0.5000 0.5000  8 Y 3.57, 4 Dy 3.57
Y: 0.5000 0.5000 0.7499  8 Y 3.56, 4 Dy 3.57

***

Record 5
This record from Alexandria describes a relaxed structure of TbDyY. The functional is PBE.

## Properties
The energy relative to the lowest polymorph listed for this composition comes out at 0.30 eV per formula unit. The value obtained for the magnetic moment is 0.00 μB per cell. The value obtained for the total energy is -5.11 eV/atom. The formation energy from the elements is 35.0 kJ/mol of formula units.

Unit cell a=3.5263 b=6.0833 c=9.5674 alpha=90.02 beta=90.22 gamma=106.76
With the nearest neighbours (Å) after each atom.
Positions (direct):
Tb: 0.1352 0.2664 0.0732  1 Dy 3.40, 5 Tb 3.40-3.54, 5 Y 3.58-3.62
Tb: 0.8648 0.7336 0.9268  1 Dy 3.40, 5 Tb 3.40-3.54, 5 Y 3.58-3.62
Dy: 0.1307 0.2662 0.4282  5 Dy 3.39-3.53, 1 Tb 3.40, 5 Y 3.58-3.63
Dy: 0.8693 0.7338 0.5718  5 Dy 3.39-3.53, 1 Tb 3.40, 5 Y 3.58-3.63
Y: 0.4084 0.8162 0.2503  2 Y 3.53, 5 Dy 3.58-3.63, 5 Tb 3.58-3.62
Y: 0.5916 0.1838 0.7497  2 Y 3.53, 5 Dy 3.58-3.63, 5 Tb 3.58-3.62

***

Record 6
This record from Alexandria describes a relaxed structure of Tb2DyY. The functional is PBE.

## Properties
The energy relative to the lowest polymorph listed for this composition comes out at 0.04 eV per formula unit. The value obtained for the magnetic moment is 0.00 μB per cell. The value obtained for the total energy is -5.06 eV/atom. The formation energy from the elements is 6.9 kJ/mol of formula units.

Unit cell a=6.1585 b=6.1643 c=7.1186 alpha=89.92 beta=73.30 gamma=80.40
With the nearest neighbours (Å) after each atom.
Positions (direct):
Tb: 0.2486 0.1254 0.4382  5 Tb 3.54-3.57, 4 Dy 3.55-3.56, 3 Y 3.56-3.57
Tb: 0.2504 0.6234 0.1886  4 Dy 3.54-3.57, 4 Tb 3.54-3.57, 4 Y 3.55-3.57
Tb: 0.7496 0.3766 0.8114  4 Dy 3.54-3.57, 4 Tb 3.54-3.57, 4 Y 3.55-3.57
Tb: 0.7514 0.8746 0.5618  5 Tb 3.54-3.57, 4 Dy 3.55-3.56, 3 Y 3.56-3.57
Dy: 0.2513 0.6253 0.6864  8 Tb 3.54-3.57, 1 Dy 3.55, 3 Y 3.56-3.57
Dy: 0.7487 0.3747 0.3136  8 Tb 3.54-3.57, 1 Dy 3.55, 3 Y 3.56-3.57
Y: 0.2498 0.1258 0.9375  7 Tb 3.55-3.57, 3 Dy 3.56-3.57, 2 Y 3.56
Y: 0.7502 0.8742 0.0625  7 Tb 3.55-3.57, 3 Dy 3.56-3.57, 2 Y 3.56